1.
## LuMgPaGa (GGA-PBE)

Data for crystalline LuMgPaGa at its relaxed geometry.

**Energy of formation**: -5 meV/atom

Lattice parameters (Å, degrees): 5.090 5.090 5.090 60.00 60.00 60.00
Atoms (fractional coordinates):
1 Lu 0.000 0.000 0.000
2 Mg 0.250 0.250 0.250
3 Pa 0.500 0.500 0.500
4 Ga 0.750 0.750 0.750

2.
## Sr2AgRhC (GGA-PBE)

Data for crystalline Sr2AgRhC at its relaxed geometry.

**Energy of formation**: -147 meV/atom

Lattice parameters (Å, degrees): 5.542 5.542 3.893 90.00 90.00 90.00
Atoms (fractional coordinates):
1 Sr 0.000 0.500 0.000
2 Sr 0.500 0.000 0.000
3 Ag 0.000 0.000 0.500
4 Rh 0.500 0.500 0.500
5 C 0.500 0.500 0.000

3.
## TmMn4B4 (GGA-PBE)

Data for crystalline TmMn4B4 at its relaxed geometry.

**Energy of formation**: -450 meV/atom

Lattice parameters (Å, degrees): 6.924 6.924 3.931 90.00 90.00 90.00
Atoms (fractional coordinates):
1 Tm 0.250 0.250 0.250
2 Tm 0.750 0.750 0.750
3 Mn 0.120 0.628 0.124
4 Mn 0.128 0.880 0.624
5 Mn 0.372 0.620 0.624
6 Mn 0.380 0.872 0.124
7 Mn 0.620 0.128 0.876
8 Mn 0.628 0.380 0.376
9 Mn 0.872 0.120 0.376
10 Mn 0.880 0.372 0.876
11 B 0.060 0.920 0.131
12 B 0.080 0.560 0.631
13 B 0.420 0.940 0.631
14 B 0.440 0.580 0.131
15 B 0.560 0.420 0.869
16 B 0.580 0.060 0.369
17 B 0.920 0.440 0.369
18 B 0.940 0.080 0.869

4.
## NaPtSe2Br (GGA-PBE)

Data for crystalline NaPtSe2Br at its relaxed geometry.

**ΔE to the lowest computed polymorph**: 1177.4 meV per atom

Lattice parameters (Å, degrees): 5.136 5.136 5.049 90.00 90.00 90.00
Atoms (fractional coordinates):
1 Na 0.000 0.000 0.000
2 Pt 0.500 0.500 0.500
3 Se 0.000 0.500 0.000
4 Se 0.500 0.000 0.000
5 Br 0.000 0.000 0.500

5.
## La2GaFeP (GGA-PBE)

Data for crystalline La2GaFeP at its relaxed geometry.

**Energy of formation**: -499 meV/atom

Lattice parameters (Å, degrees): 5.096 5.096 4.539 90.00 90.00 90.00
Atoms (fractional coordinates):
1 La 0.000 0.500 0.000
2 La 0.500 0.000 0.000
3 Ga 0.000 0.000 0.500
4 Fe 0.000 0.000 0.000
5 P 0.500 0.500 0.500

6.
## GeTeI2N (GGA-PBE)

Data for crystalline GeTeI2N at its relaxed geometry.

**ΔE to the lowest computed polymorph**: 192.2 meV per atom

Lattice parameters (Å, degrees): 6.247 6.247 3.983 90.00 90.00 90.00
Atoms (fractional coordinates):
1 Ge 0.000 0.000 0.000
2 Te 0.500 0.500 0.500
3 I 0.000 0.500 0.500
4 I 0.500 0.000 0.500
5 N 0.500 0.500 0.000

7.
## NdThCo (GGA-PBE)

Data for crystalline NdThCo at its relaxed geometry.

**Energy of formation**: -143 meV/atom
**ΔE to the lowest computed polymorph**: 14.7 meV per atom

Lattice parameters (Å, degrees): 7.278 7.278 3.679 104.52 104.52 56.62
Atoms (fractional coordinates):
1 Nd 0.219 0.219 0.219
2 Nd 0.781 0.781 0.781
3 Th 0.258 0.742 0.500
4 Th 0.742 0.258 0.500
5 Co 0.392 0.392 0.891
6 Co 0.608 0.608 0.109

8.
## Ni5Au (GGA-PBE)

Data for crystalline Ni5Au at its relaxed geometry.

**Energy of formation**: 125 meV/atom

Lattice parameters (Å, degrees): 4.178 6.866 6.866 21.92 90.00 90.00
Atoms (fractional coordinates):
1 Ni 0.000 0.000 0.000
2 Ni 0.000 0.311 0.311
3 Ni 0.000 0.656 0.656
4 Ni 0.500 0.204 0.204
5 Ni 0.500 0.552 0.552
6 Au 0.500 0.880 0.880

Repeat the first record exactly.
## LuMgPaGa (GGA-PBE)

Data for crystalline LuMgPaGa at its relaxed geometry.

**Energy of formation**: -5 meV/atom

Lattice parameters (Å, degrees): 5.090 5.090 5.090 60.00 60.00 60.00
Atoms (fractional coordinates):
1 Lu 0.000 0.000 0.000
2 Mg 0.250 0.250 0.250
3 Pa 0.500 0.500 0.500
4 Ga 0.750 0.750 0.750